# RbSb5S8

A relaxed structure of RbSb5S8 (GGA-PBE, Alexandria).

Output
space-group type = No. 8
M_tot = 0.000 μB/f.u.
formation energy from raw total energies = -0.36 eV/atom
raw total energy = -4.26 eV per atom

Lattice parameters (Å, degrees): 9.695 9.695 10.927 104.23 104.23 23.41
Sites, in units of the cell vectors:
Rb1 0.000 0.000 0.000
Sb1 0.173 0.173 0.481
Sb2 0.210 0.210 0.879
Sb3 0.495 0.495 0.438
Sb4 0.809 0.809 0.212
Sb5 0.868 0.868 0.604
S1 0.072 0.072 0.595
S2 0.310 0.310 0.383
S3 0.328 0.328 0.039
S4 0.419 0.419 0.750
S5 0.596 0.596 0.327
S6 0.653 0.653 0.974
S7 0.745 0.745 0.654
S8 0.946 0.946 0.263

---

# RbSb2S4

A relaxed structure of RbSb2S4 (GGA-PBE, Alexandria).

Output
space-group type = No. 63
M_tot = 0.000 μB/f.u.
DOS(E_F) = 3.102 states/eV/f.u.
formation energy from raw total energies = -0.42 eV/atom
raw total energy = -4.09 eV per atom

Lattice parameters (Å, degrees): 6.798 6.798 14.061 90.00 90.00 145.68
Sites, in units of the cell vectors:
Rb1 0.103 0.897 0.750
Rb2 0.897 0.103 0.250
Sb1 0.364 0.636 0.570
Sb2 0.364 0.636 0.930
Sb3 0.636 0.364 0.070
Sb4 0.636 0.364 0.430
S1 0.000 0.000 0.000
S2 0.000 0.000 0.500
S3 0.268 0.732 0.100
S4 0.268 0.732 0.400
S5 0.405 0.595 0.750
S6 0.595 0.405 0.250
S7 0.732 0.268 0.600
S8 0.732 0.268 0.900

---

# Rb4SbS5

A relaxed structure of Rb4SbS5 (GGA-PBE, Alexandria).

Output
space-group type = No. 79
M_tot = 0.894 μB/f.u.
DOS(E_F) = 0.903 states/eV/f.u.
formation energy from raw total energies = -0.73 eV/atom
raw total energy = -3.59 eV per atom

Lattice parameters (Å, degrees): 8.040 8.040 8.040 100.36 100.36 129.82
Sites, in units of the cell vectors:
Rb1 0.099 0.291 0.390
Rb2 0.291 0.901 0.193
Rb3 0.709 0.099 0.807
Rb4 0.901 0.709 0.610
Sb1 0.574 0.574 0.000
S1 0.267 0.561 0.843
S2 0.424 0.267 0.706
S3 0.561 0.718 0.294
S4 0.718 0.424 0.157
S5 0.922 0.922 0.000

---

# RbSbS4

A relaxed structure of RbSbS4 (GGA-PBE, Alexandria).

Output
space-group type = No. 15
M_tot = 1.954 μB/f.u.
DOS(E_F) = 2.098 states/eV/f.u.
formation energy from raw total energies = -0.25 eV/atom
raw total energy = -3.85 eV per atom

Lattice parameters (Å, degrees): 8.849 8.849 6.778 90.34 90.34 126.71
Sites, in units of the cell vectors:
Rb1 0.104 0.896 0.750
Rb2 0.896 0.104 0.250
Sb1 0.450 0.550 0.250
Sb2 0.550 0.450 0.750
S1 0.090 0.676 0.289
S2 0.256 0.341 0.913
S3 0.324 0.910 0.211
S4 0.341 0.256 0.413
S5 0.659 0.744 0.587
S6 0.676 0.090 0.789
S7 0.744 0.659 0.087
S8 0.910 0.324 0.711

---

# Rb2SbS2

A relaxed structure of Rb2SbS2 (GGA-PBE, Alexandria).

Output
space-group type = No. 127
M_tot = 0.000 μB/f.u.
DOS(E_F) = 2.179 states/eV/f.u.
formation energy from raw total energies = -0.59 eV/atom
raw total energy = -3.45 eV per atom

Lattice parameters (Å, degrees): 7.745 7.745 5.033 90.00 90.00 90.00
Sites, in units of the cell vectors:
Rb1 0.145 0.355 0.000
Rb2 0.355 0.855 0.000
Rb3 0.645 0.145 0.000
Rb4 0.855 0.645 0.000
Sb1 0.000 0.000 0.500
Sb2 0.500 0.500 0.500
S1 0.181 0.681 0.500
S2 0.319 0.181 0.500
S3 0.681 0.819 0.500
S4 0.819 0.319 0.500

---

# Rb2Sb4S7

A relaxed structure of Rb2Sb4S7 (GGA-PBE, Alexandria).

Output
space-group type = No. 14
M_tot = 0.000 μB/f.u.
formation energy from raw total energies = -0.55 eV/atom
raw total energy = -4.19 eV per atom

Lattice parameters (Å, degrees): 7.300 12.551 11.110 90.00 128.34 90.00
Sites, in units of the cell vectors:
Rb1 0.141 0.060 0.349
Rb2 0.141 0.440 0.849
Rb3 0.859 0.560 0.151
Rb4 0.859 0.940 0.651
Sb1 0.332 0.154 0.061
Sb2 0.332 0.346 0.561
Sb3 0.401 0.638 0.649
Sb4 0.401 0.862 0.149
Sb5 0.599 0.138 0.851
Sb6 0.599 0.362 0.351
Sb7 0.668 0.654 0.439
Sb8 0.668 0.846 0.939
S1 0.000 0.000 0.000
S2 0.000 0.500 0.500
S3 0.189 0.233 0.666
S4 0.189 0.267 0.166
S5 0.324 0.703 0.822
S6 0.324 0.797 0.322
S7 0.385 0.532 0.221
S8 0.385 0.968 0.721
S9 0.615 0.032 0.279
S10 0.615 0.468 0.779
S11 0.676 0.203 0.678
S12 0.676 0.297 0.178
S13 0.811 0.733 0.834
S14 0.811 0.767 0.334

---

# RbSb2S2

A relaxed structure of RbSb2S2 (GGA-PBE, Alexandria).

Output
space-group type = No. 139
M_tot = 0.000 μB/f.u.
DOS(E_F) = 2.743 states/eV/f.u.
formation energy from raw total energies = -0.21 eV/atom
raw total energy = -3.70 eV per atom

Lattice parameters (Å, degrees): 6.279 6.279 6.279 128.37 128.37 76.02
Sites, in units of the cell vectors:
Rb1 0.000 0.000 0.000
Sb1 0.344 0.344 0.000
Sb2 0.656 0.656 0.000
S1 0.250 0.750 0.500
S2 0.750 0.250 0.500

---

# Rb2Sb4S7

A relaxed structure of Rb2Sb4S7 (GGA-PBE, Alexandria).

Output
space-group type = No. 2
M_tot = 0.000 μB/f.u.
DOS(E_F) = 0.000 states/eV/f.u.
formation energy from raw total energies = -0.56 eV/atom
raw total energy = -4.20 eV per atom

Lattice parameters (Å, degrees): 7.844 9.761 11.769 80.47 86.64 76.33
Sites, in units of the cell vectors:
Rb1 0.087 0.234 0.442
Rb2 0.234 0.829 0.887
Rb3 0.766 0.171 0.113
Rb4 0.913 0.766 0.558
Sb1 0.001 0.691 0.228
Sb2 0.223 0.361 0.051
Sb3 0.334 0.932 0.187
Sb4 0.475 0.449 0.657
Sb5 0.525 0.551 0.343
Sb6 0.666 0.068 0.813
Sb7 0.777 0.639 0.949
Sb8 0.999 0.309 0.772
S1 0.049 0.932 0.288
S2 0.055 0.563 0.846
S3 0.143 0.169 0.955
S4 0.274 0.518 0.469
S5 0.303 0.628 0.153
S6 0.365 0.171 0.225
S7 0.471 0.195 0.649
S8 0.529 0.805 0.351
S9 0.635 0.829 0.775
S10 0.697 0.372 0.847
S11 0.726 0.482 0.531
S12 0.857 0.831 0.045
S13 0.945 0.437 0.154
S14 0.951 0.068 0.712

---

# Rb3SbS3

A relaxed structure of Rb3SbS3 (GGA-PBE, Alexandria).

Output
space-group type = No. 12
M_tot = 0.000 μB/f.u.
DOS(E_F) = 0.000 states/eV/f.u.
formation energy from raw total energies = -0.92 eV/atom
raw total energy = -3.69 eV per atom

Lattice parameters (Å, degrees): 7.997 7.997 9.225 101.19 101.19 87.38
Sites, in units of the cell vectors:
Rb1 0.209 0.791 0.000
Rb2 0.223 0.777 0.500
Rb3 0.247 0.247 0.877
Rb4 0.753 0.753 0.123
Rb5 0.777 0.223 0.500
Rb6 0.791 0.209 0.000
Sb1 0.263 0.263 0.334
Sb2 0.737 0.737 0.666
S1 0.043 0.043 0.274
S2 0.128 0.473 0.188
S3 0.473 0.128 0.188
S4 0.527 0.872 0.812
S5 0.872 0.527 0.812
S6 0.957 0.957 0.726

---

# Rb2Sb2S5

A relaxed structure of Rb2Sb2S5 (GGA-PBE, Alexandria).

Output
space-group type = No. 12
M_tot = 0.000 μB/f.u.
formation energy from raw total energies = -0.53 eV/atom
raw total energy = -3.96 eV per atom

Lattice parameters (Å, degrees): 7.712 7.712 7.937 104.32 104.32 41.44
Sites, in units of the cell vectors:
Rb1 0.104 0.104 0.326
Rb2 0.896 0.896 0.674
Sb1 0.347 0.347 0.115
Sb2 0.653 0.653 0.885
S1 0.175 0.175 0.947
S2 0.352 0.352 0.410
S3 0.500 0.500 0.000
S4 0.648 0.648 0.590
S5 0.825 0.825 0.053

---

# Rb3Sc3SbS8

A relaxed structure of Rb3Sc3SbS8 (GGA-PBE, Alexandria).

Output
space-group type = No. 166
M_tot = 0.000 μB/f.u.
DOS(E_F) = 2.175 states/eV/f.u.
formation energy from raw total energies = -1.43 eV/atom
raw total energy = -5.37 eV per atom

Lattice parameters (Å, degrees): 8.943 8.943 8.943 50.78 50.78 50.78
Sites, in units of the cell vectors:
Rb1 0.000 0.500 0.500
Rb2 0.500 0.000 0.500
Rb3 0.500 0.500 0.000
Sc1 0.000 0.000 0.500
Sc2 0.000 0.500 0.000
Sc3 0.500 0.000 0.000
Sb1 0.500 0.500 0.500
S1 0.223 0.729 0.729
S2 0.227 0.227 0.227
S3 0.271 0.271 0.777
S4 0.271 0.777 0.271
S5 0.729 0.223 0.729
S6 0.729 0.729 0.223
S7 0.773 0.773 0.773
S8 0.777 0.271 0.271

---

# Rb2Sc2SbS6

A relaxed structure of Rb2Sc2SbS6 (GGA-PBE, Alexandria).

Output
space-group type = No. 12
M_tot = 0.000 μB/f.u.
DOS(E_F) = 3.767 states/eV/f.u.
formation energy from raw total energies = -1.31 eV/atom
raw total energy = -5.27 eV per atom

Lattice parameters (Å, degrees): 6.630 6.630 8.162 97.76 97.76 120.16
Sites, in units of the cell vectors:
Rb1 0.166 0.834 0.000
Rb2 0.834 0.166 0.000
Sc1 0.333 0.667 0.500
Sc2 0.667 0.333 0.500
Sb1 0.000 0.000 0.500
S1 0.061 0.397 0.681
S2 0.277 0.277 0.319
S3 0.397 0.061 0.681
S4 0.603 0.939 0.319
S5 0.723 0.723 0.681
S6 0.939 0.603 0.319

---

Q: raw total energy of number 5 (Rb2SbS2)?
A: -3.45 eV per atom